[1]
Entry from OQMD: La2IrO4 after structural relaxation (PBE-GGA).

extended XYZ file:
```
14
Lattice="-1.387 -3.538 -5.890 6.502 2.293 1.262 -2.656 -5.265 3.789" Properties=species:S:1:pos:R:3 pbc="T T T"
Ir 0.000 0.000 0.000
Ir 1.547 -2.823 -2.839
La 4.024 -0.265 -0.789
La -1.248 -5.813 -2.470
La 2.696 -2.897 1.106
La -0.554 -4.044 0.475
O 3.742 -0.759 1.567
O -0.317 -3.647 -1.905
O 3.079 -2.450 -1.246
O 0.477 -1.925 1.045
O -1.586 -6.163 -0.095
O 2.314 -3.345 3.457
O -0.792 -4.441 2.854
O 1.651 -5.035 0.644
```

## Properties
- E_tot: -7.378 eV/atom
- Space group: Fd-3m



[2]
Entry from OQMD: RbBaTl4Pd2 after structural relaxation (PBE-GGA).

extended XYZ file:
```
8
Lattice="-7.526 -3.986 0.026 1.078 -1.996 5.884 -1.071 2.061 5.863" Properties=species:S:1:pos:R:3 pbc="T T T"
Ba -3.760 -1.964 5.198
Pd 0.002 0.018 3.310
Pd -3.758 -1.946 8.492
Rb 0.004 0.037 6.560
Tl -2.267 -1.191 1.806
Tl -5.257 -2.775 1.816
Tl -1.461 -0.721 9.934
Tl -6.054 -3.155 9.950
```

## Properties
- Excess energy over the best structure of this formula in the dataset: 0.000 eV per atom
- Space group: Amm2



[3]
Entry from OQMD: MgNb2Bi after structural relaxation (PBE-GGA).

extended XYZ file:
```
4
Lattice="0.000 3.425 3.425 3.425 0.000 3.425 3.425 3.425 0.000" Properties=species:S:1:pos:R:3 pbc="T T T"
Bi 3.425 3.425 3.425
Mg 1.713 1.713 1.713
Nb 0.000 0.000 0.000
Nb 5.138 5.138 5.138
```

## Properties
- E_tot: -6.068 eV/atom
- Space group: F-43m



Calculated mass density in order - 7.28, 9.06, 8.66 g/cm3